# 1
# TlHg3Au, optimized geometry, DFT PBE
data_TlHg3Au
_chemical_formula_sum 'Tl1 Hg3 Au1'
_space_group_name_H-M_alt 'P 1'
_space_group_IT_number 1
_space_group_name_Hall 'P 1'
_cell_length_a 5.429
_cell_length_b 5.429
_cell_length_c 5.429
_cell_angle_alpha 90.00
_cell_angle_beta 90.00
_cell_angle_gamma 90.00
loop_
_atom_site_label
_atom_site_fract_x
_atom_site_fract_y
_atom_site_fract_z
Tl1 0.500 0.500 0.500
Au1 0.000 0.000 0.000
Hg1 0.000 0.500 0.000
Hg2 0.000 0.000 0.500
Hg3 0.500 0.000 0.000
# ΔE_f   63 meV/atom
# Distance to the lowest polymorph of the same formula   0.052 eV per atom
# Density   10411 kg/m³
# Fermi-level density of states   2.05 states/eV per cell

***

# 2
# K4Zn3BrF12, optimized geometry, DFT PBE
data_K4Zn3BrF12
_chemical_formula_sum 'K4 Zn3 Br1 F12'
_space_group_name_H-M_alt 'P 1'
_space_group_IT_number 1
_space_group_name_Hall 'P 1'
_cell_length_a 7.403
_cell_length_b 7.403
_cell_length_c 7.403
_cell_angle_alpha 109.47
_cell_angle_beta 109.47
_cell_angle_gamma 109.47
loop_
_atom_site_label
_atom_site_fract_x
_atom_site_fract_y
_atom_site_fract_z
K1 0.500 0.500 0.500
K2 0.000 0.000 0.500
K3 0.500 0.000 0.000
K4 0.000 0.500 0.000
Zn1 0.500 0.000 0.500
Zn2 0.500 0.500 0.000
Zn3 0.000 0.500 0.500
Br1 0.000 0.000 0.000
F1 0.250 0.500 0.750
F2 0.727 0.000 0.727
F3 0.273 0.000 0.273
F4 0.750 0.500 0.250
F5 0.727 0.727 0.000
F6 0.273 0.273 0.000
F7 0.750 0.250 0.500
F8 0.250 0.750 0.500
F9 0.500 0.250 0.750
F10 0.000 0.727 0.727
F11 0.500 0.750 0.250
F12 0.000 0.273 0.273
# Density   3512 kg/m³
# E_form (uncorrected)   -2199 meV/atom

***

# 3
# Li3ZnGe, optimized geometry, DFT PBE
data_Li3ZnGe
_chemical_formula_sum 'Li6 Zn2 Ge2'
_space_group_name_H-M_alt 'P 1'
_space_group_IT_number 1
_space_group_name_Hall 'P 1'
_cell_length_a 4.223
_cell_length_b 5.515
_cell_length_c 7.412
_cell_angle_alpha 68.86
_cell_angle_beta 106.50
_cell_angle_gamma 89.95
loop_
_atom_site_label
_atom_site_fract_x
_atom_site_fract_y
_atom_site_fract_z
Li1 0.600 0.170 0.200
Li2 0.794 0.165 0.590
Li3 0.000 0.000 0.000
Li4 0.400 0.830 0.800
Li5 0.206 0.835 0.410
Li6 0.000 0.500 0.000
Zn1 0.806 0.644 0.610
Zn2 0.194 0.356 0.390
Ge1 0.389 0.344 0.777
Ge2 0.611 0.656 0.223
# ΔE_f   -257 meV/atom
# Distance to the lowest polymorph of the same formula   0.000 eV per atom
# Density   3441 kg/m³
# Fermi-level density of states   2.19 states/eV per cell

***

# 4
# AlSn4Pd15, optimized geometry, DFT PBE
data_AlSn4Pd15
_chemical_formula_sum 'Al1 Sn4 Pd15'
_space_group_name_H-M_alt 'P 1'
_space_group_IT_number 1
_space_group_name_Hall 'P 1'
_cell_length_a 4.021
_cell_length_b 4.021
_cell_length_c 20.013
_cell_angle_alpha 90.00
_cell_angle_beta 90.00
_cell_angle_gamma 90.00
loop_
_atom_site_label
_atom_site_fract_x
_atom_site_fract_y
_atom_site_fract_z
Al1 0.000 0.000 0.000
Sn1 0.000 0.000 0.194
Sn2 0.000 0.000 0.398
Sn3 0.000 0.000 0.602
Sn4 0.000 0.000 0.806
Pd1 0.500 0.500 0.000
Pd2 0.500 0.500 0.196
Pd3 0.500 0.500 0.399
Pd4 0.500 0.500 0.601
Pd5 0.500 0.500 0.804
Pd6 0.500 0.000 0.094
Pd7 0.500 0.000 0.297
Pd8 0.500 0.000 0.500
Pd9 0.500 0.000 0.703
Pd10 0.500 0.000 0.906
Pd11 0.000 0.500 0.094
Pd12 0.000 0.500 0.297
Pd13 0.000 0.500 0.500
Pd14 0.000 0.500 0.703
Pd15 0.000 0.500 0.906
# ΔE_f   -523 meV/atom
# Density   10770 kg/m³
# Fermi-level density of states   10.27 states/eV per cell

***

# 5
# Tm3MgCd3, optimized geometry, DFT PBE
data_Tm3MgCd3
_chemical_formula_sum 'Tm6 Mg2 Cd6'
_space_group_name_H-M_alt 'P 1'
_space_group_IT_number 1
_space_group_name_Hall 'P 1'
_cell_length_a 7.374
_cell_length_b 7.374
_cell_length_c 6.828
_cell_angle_alpha 89.94
_cell_angle_beta 89.94
_cell_angle_gamma 91.29
loop_
_atom_site_label
_atom_site_fract_x
_atom_site_fract_y
_atom_site_fract_z
Tm1 0.002 0.002 0.751
Tm2 0.498 0.002 0.250
Tm3 0.002 0.498 0.250
Tm4 0.502 0.998 0.750
Tm5 0.998 0.502 0.750
Tm6 0.998 0.998 0.249
Mg1 0.327 0.327 0.995
Mg2 0.673 0.673 0.005
Cd1 0.284 0.284 0.502
Cd2 0.286 0.714 0.500
Cd3 0.714 0.286 0.500
Cd4 0.261 0.739 0.000
Cd5 0.739 0.261 0.000
Cd6 0.716 0.716 0.498
# ΔE_f   -122 meV/atom
# Distance to the lowest polymorph of the same formula   0.004 eV per atom
# Density   7769 kg/m³
# Fermi-level density of states   10.26 states/eV per cell

***

# 6
# NdSi3OsRu, optimized geometry, DFT PBE
data_NdSi3OsRu
_chemical_formula_sum 'Nd2 Si6 Os2 Ru2'
_space_group_name_H-M_alt 'P 1'
_space_group_IT_number 1
_space_group_name_Hall 'P 1'
_cell_length_a 5.560
_cell_length_b 7.538
_cell_length_c 6.737
_cell_angle_alpha 124.01
_cell_angle_beta 90.00
_cell_angle_gamma 90.00
loop_
_atom_site_label
_atom_site_fract_x
_atom_site_fract_y
_atom_site_fract_z
Nd1 0.750 0.252 0.503
Nd2 0.250 0.748 0.497
Si1 0.250 0.250 0.500
Si2 0.000 0.248 0.000
Si3 0.500 0.752 0.000
Si4 0.500 0.248 0.000
Si5 0.000 0.752 0.000
Si6 0.750 0.750 0.500
Os1 0.250 0.449 0.897
Os2 0.750 0.551 0.103
Ru1 0.250 0.054 0.109
Ru2 0.750 0.946 0.891
# Density   7376 kg/m³
# Fermi-level density of states   4.67 states/eV per cell
# E_form (uncorrected)   -408 meV/atom

***

# 7
# Ca2MgBe, optimized geometry, DFT PBE
data_Ca2MgBe
_chemical_formula_sum 'Ca2 Mg1 Be1'
_space_group_name_H-M_alt 'P 1'
_space_group_IT_number 1
_space_group_name_Hall 'P 1'
_cell_length_a 3.436
_cell_length_b 3.436
_cell_length_c 9.003
_cell_angle_alpha 90.00
_cell_angle_beta 90.00
_cell_angle_gamma 90.00
loop_
_atom_site_label
_atom_site_fract_x
_atom_site_fract_y
_atom_site_fract_z
Be1 0.500 0.500 0.718
Ca1 0.000 0.000 0.930
Ca2 0.500 0.500 0.287
Mg1 0.000 0.000 0.564
# ΔE_f   215 meV/atom
# Distance to the lowest polymorph of the same formula   0.050 eV per atom
# Density   1773 kg/m³
# Fermi-level density of states   1.79 states/eV per cell

***

# 8
# LiCd3Au3, optimized geometry, DFT PBE
data_LiCd3Au3
_chemical_formula_sum 'Li2 Cd6 Au6'
_space_group_name_H-M_alt 'P 1'
_space_group_IT_number 1
_space_group_name_Hall 'P 1'
_cell_length_a 7.686
_cell_length_b 7.686
_cell_length_c 7.686
_cell_angle_alpha 90.00
_cell_angle_beta 90.00
_cell_angle_gamma 90.00
loop_
_atom_site_label
_atom_site_fract_x
_atom_site_fract_y
_atom_site_fract_z
Li1 0.500 0.500 0.500
Li2 0.000 0.000 0.000
Au1 0.000 0.250 0.500
Au2 0.000 0.750 0.500
Au3 0.500 0.000 0.750
Au4 0.750 0.500 0.000
Au5 0.500 0.000 0.250
Au6 0.250 0.500 0.000
Cd1 0.250 0.000 0.500
Cd2 0.000 0.500 0.250
Cd3 0.500 0.750 0.000
Cd4 0.750 0.000 0.500
Cd5 0.000 0.500 0.750
Cd6 0.500 0.250 0.000
# ΔE_f   184 meV/atom
# Distance to the lowest polymorph of the same formula   0.406 eV per atom
# Density   6840 kg/m³
# Fermi-level density of states   5.38 states/eV per cell

***

# 9
# VAgPd4, optimized geometry, DFT PBE
data_VAgPd4
_chemical_formula_sum 'V1 Ag1 Pd4'
_space_group_name_H-M_alt 'P 1'
_space_group_IT_number 1
_space_group_name_Hall 'P 1'
_cell_length_a 2.778
_cell_length_b 3.940
_cell_length_c 8.399
_cell_angle_alpha 90.00
_cell_angle_beta 90.00
_cell_angle_gamma 90.00
loop_
_atom_site_label
_atom_site_fract_x
_atom_site_fract_y
_atom_site_fract_z
V1 0.500 0.000 0.500
Ag1 0.000 0.500 0.000
Pd1 0.000 0.500 0.343
Pd2 0.500 0.000 0.180
Pd3 0.000 0.500 0.657
Pd4 0.500 0.000 0.820
# ΔE_f   -149 meV/atom
# Density   10559 kg/m³
# Fermi-level density of states   4.06 states/eV per cell

***

# 10
# Tl3In3Sn, optimized geometry, DFT PBE
data_Tl3In3Sn
_chemical_formula_sum 'Tl6 In6 Sn2'
_space_group_name_H-M_alt 'P 1'
_space_group_IT_number 1
_space_group_name_Hall 'P 1'
_cell_length_a 8.299
_cell_length_b 8.299
_cell_length_c 8.299
_cell_angle_alpha 90.00
_cell_angle_beta 90.00
_cell_angle_gamma 90.00
loop_
_atom_site_label
_atom_site_fract_x
_atom_site_fract_y
_atom_site_fract_z
Tl1 0.000 0.250 0.500
Tl2 0.000 0.750 0.500
Tl3 0.500 0.000 0.750
Tl4 0.750 0.500 0.000
Tl5 0.500 0.000 0.250
Tl6 0.250 0.500 0.000
Sn1 0.500 0.500 0.500
Sn2 0.000 0.000 0.000
In1 0.250 0.000 0.500
In2 0.000 0.500 0.250
In3 0.500 0.750 0.000
In4 0.750 0.000 0.500
In5 0.000 0.500 0.750
In6 0.500 0.250 0.000
# ΔE_f   561 meV/atom
# Distance to the lowest polymorph of the same formula   0.539 eV per atom
# Density   6254 kg/m³
# Fermi-level density of states   14.09 states/eV per cell

***

# 11
# SrCaLa2Rh, optimized geometry, DFT PBE
data_SrCaLa2Rh
_chemical_formula_sum 'Sr1 Ca1 La2 Rh1'
_space_group_name_H-M_alt 'P 1'
_space_group_IT_number 1
_space_group_name_Hall 'P 1'
_cell_length_a 5.639
_cell_length_b 5.639
_cell_length_c 5.959
_cell_angle_alpha 90.00
_cell_angle_beta 90.00
_cell_angle_gamma 90.00
loop_
_atom_site_label
_atom_site_fract_x
_atom_site_fract_y
_atom_site_fract_z
Sr1 0.500 0.500 0.500
Ca1 0.000 0.000 0.500
Rh1 0.000 0.000 0.000
La1 0.000 0.500 0.000
La2 0.500 0.000 0.000
# ΔE_f   -305 meV/atom
# Distance to the lowest polymorph of the same formula   0.000 eV per atom
# Density   4456 kg/m³
# Fermi-level density of states   5.23 states/eV per cell

***

# 12
# RbCo2W, optimized geometry, DFT PBE
data_RbCo2W
_chemical_formula_sum 'Rb2 Co4 W2'
_space_group_name_H-M_alt 'P 1'
_space_group_IT_number 1
_space_group_name_Hall 'P 1'
_cell_length_a 7.117
_cell_length_b 7.117
_cell_length_c 6.133
_cell_angle_alpha 54.54
_cell_angle_beta 54.54
_cell_angle_gamma 90.00
loop_
_atom_site_label
_atom_site_fract_x
_atom_site_fract_y
_atom_site_fract_z
Co1 0.711 0.125 0.250
Co2 0.039 0.625 0.250
Co3 0.375 0.289 0.750
Co4 0.875 0.961 0.750
Rb1 0.500 0.500 0.000
Rb2 0.250 0.750 0.500
W1 0.000 0.000 0.000
W2 0.750 0.250 0.500
# ΔE_f   1489 meV/atom
# Distance to the lowest polymorph of the same formula   0.000 eV per atom
# Density   7240 kg/m³
# Fermi-level density of states   10.28 states/eV per cell

***

> Which of these has the lowest density?

Ca2MgBe